Density functional theory data (GGA-PBE) for a relaxed structure of AsOs2Cl.

Lattice parameters (Å, degrees): 3.600 2.860 7.746 79.39 90.00 90.00
Fractional coordinates of all 4 atoms:
Cl1 0.500 0.900 0.825
As1 0.000 0.610 0.405
Os1 0.500 0.206 0.215
Os2 0.000 0.785 0.056

Results
* VASP energy: -27.8 eV per cell
* energy above the most stable polymorph in this dataset: 0.000 eV per atom
* formation energy from raw total energies: 277.4 meV/atom
* ρ: 10.40 g cm⁻³